No. 1
{"formula": "RbGaTc2F", "functional": "meta-GGA SCAN", "state": "single point on PBEsol structure", "cell": [[4.686, 0.000, 0.000], [0.000, 4.686, 0.000], [0.000, 0.000, 5.876]], "species": ["Rb", "Ga", "Tc", "Tc", "F"], "fractional_positions": [[0.000, 0.000, 0.000], [0.000, 0.000, 0.500], [0.000, 0.500, 0.000], [0.500, 0.000, 0.000], [0.500, 0.500, 0.500]], "m_tot_mub_per_cell": 4.8, "e_form_raw_ev_per_fu": 12.9, "rho_g_cm3": 4.76, "sg": "P4/mmm"}

=====

No. 2
{"formula": "GaReF2", "functional": "meta-GGA SCAN", "state": "single point on PBEsol structure", "cell": [[0.000, 2.895, 2.895], [2.895, 0.000, 2.895], [2.895, 2.895, 0.000]], "species": ["Ga", "Re", "F", "F"], "fractional_positions": [[0.000, 0.000, 0.000], [0.500, 0.500, 0.500], [0.250, 0.250, 0.250], [0.750, 0.750, 0.750]], "m_tot_mub_per_cell": 2.4, "e_form_raw_ev_per_fu": 0.7, "rho_g_cm3": 10.06, "sg": "Fm-3m"}

=====

No. 3
{"formula": "GaReF3", "functional": "meta-GGA SCAN", "state": "single point on PBEsol structure", "cell": [[4.145, 0.000, 0.000], [0.000, 4.145, 0.000], [0.000, 0.000, 4.145]], "species": ["Ga", "Re", "F", "F", "F"], "fractional_positions": [[0.000, 0.000, 0.000], [0.500, 0.500, 0.500], [0.000, 0.500, 0.500], [0.500, 0.000, 0.500], [0.500, 0.500, 0.000]], "m_tot_mub_per_cell": 0.0, "e_form_raw_ev_per_fu": -4.0, "rho_g_cm3": 7.29, "sg": "Pm-3m"}

=====

No. 4
{"formula": "Ga2RhF", "functional": "meta-GGA SCAN", "state": "single point on PBEsol structure", "cell": [[0.000, 3.007, 3.007], [3.007, 0.000, 3.007], [3.007, 3.007, 0.000]], "species": ["Ga", "Ga", "Rh", "F"], "fractional_positions": [[0.250, 0.250, 0.250], [0.750, 0.750, 0.750], [0.000, 0.000, 0.000], [0.500, 0.500, 0.500]], "m_tot_mub_per_cell": 0.0, "e_form_raw_ev_per_fu": -2.4, "rho_g_cm3": 7.98, "sg": "Fm-3m"}

=====

No. 5
{"formula": "GaRuF3", "functional": "meta-GGA SCAN", "state": "single point on PBEsol structure", "cell": [[4.141, 0.000, 0.000], [0.000, 4.141, 0.000], [0.000, 0.000, 4.141]], "species": ["Ga", "Ru", "F", "F", "F"], "fractional_positions": [[0.000, 0.000, 0.000], [0.500, 0.500, 0.500], [0.000, 0.500, 0.500], [0.500, 0.000, 0.500], [0.500, 0.500, 0.000]], "m_tot_mub_per_cell": 0.0, "e_form_raw_ev_per_fu": -6.5, "rho_g_cm3": 5.33, "sg": "Pm-3m"}

=====

No. 6
{"formula": "GaSF2", "functional": "meta-GGA SCAN", "state": "single point on PBEsol structure", "cell": [[-2.976, 2.976, 4.235], [2.976, -2.976, 4.235], [2.976, 2.976, -4.235]], "species": ["Ga", "Ga", "S", "S", "F", "F", "F", "F"], "fractional_positions": [[0.375, 0.625, 0.750], [0.625, 0.375, 0.250], [0.125, 0.875, 0.250], [0.875, 0.125, 0.750], [0.000, 0.500, 0.500], [0.500, 0.000, 0.000], [0.500, 0.500, 0.000], [0.500, 0.500, 0.500]], "m_tot_mub_per_cell": 2.3, "e_form_raw_ev_per_fu": -4.2, "rho_g_cm3": 3.10, "sg": "I4_1/amd"}

=====

No. 7
{"formula": "Ga2SF", "functional": "meta-GGA SCAN", "state": "single point on PBEsol structure", "cell": [[0.000, 3.145, 3.145], [3.145, 0.000, 3.145], [3.145, 3.145, 0.000]], "species": ["Ga", "Ga", "S", "F"], "fractional_positions": [[0.250, 0.250, 0.250], [0.750, 0.750, 0.750], [0.000, 0.000, 0.000], [0.500, 0.500, 0.500]], "m_tot_mub_per_cell": 0.0, "e_form_raw_ev_per_fu": -2.6, "rho_g_cm3": 5.08, "sg": "Fm-3m"}

=====

No. 8
{"formula": "GaSbF2", "functional": "meta-GGA SCAN", "state": "single point on PBEsol structure", "cell": [[1.663, 0.960, 7.678], [-1.663, 0.960, 7.678], [0.000, -1.920, 7.678]], "species": ["Ga", "Sb", "F", "F"], "fractional_positions": [[0.000, 0.000, 0.000], [0.500, 0.500, 0.500], [0.405, 0.405, 0.405], [0.595, 0.595, 0.595]], "polymorph_energy_kj_per_mol_fu": 0, "m_tot_mub_per_cell": 0.0, "e_form_raw_ev_per_fu": -5.3, "rho_g_cm3": 5.18, "sg": "R-3m"}